{
  "formula": "In2NiSbO6",
  "functional": "PBE with a Hubbard U",
  "state": "relaxed",
  "lattice_angstrom": [[5.500, 0.007, 0.006], [2.745, 4.766, 0.009], [2.743, 1.585, 4.849]],
  "species": ["In", "In", "Sb", "O", "O", "O", "O", "O", "O", "Ni"],
  "frac_coords": [[0.526, 0.526, 0.422], [0.027, 0.027, 0.920], [0.314, 0.314, 0.059], [0.610, 0.201, 0.258], [0.201, 0.930, 0.258], [0.930, 0.610, 0.258], [0.699, 0.110, 0.761], [0.110, 0.430, 0.761], [0.430, 0.699, 0.761], [0.814, 0.814, 0.557]],
  "e_tot_ev_per_atom": -5.5192,
  "dos_ef_per_ev_cell": 2.965
}